Density functional theory data (meta-GGA SCAN) for a crystal of Mg2MnCl relaxed with PBEsol.

It has space group Imm2 (No. 44), with a = 3.072 Å, b = 5.045 Å, c = 9.916 Å, α = 90.00°, β = 90.00° and γ = 90.00°. The inequivalent atoms are Mg at (0.000, 0.000, 0.000), Mg at (0.000, 0.500, 0.207), Mn at (0.000, 0.000, 0.466) and Cl at (0.000, 0.500, 0.771).

The calculation puts the energy at -9.29 eV/atom. The offset from the most stable computed form comes out at 0.000 eV per formula unit. Its crystal system is orthorhombic.